[1]
This record from Alexandria describes a geometry-optimized TaAuI2N structure. The functional is GGA-PBE.

Unit cell a=5.9534 b=5.9534 c=3.7165 alpha=90.00 beta=90.00 gamma=90.00
Element x y z (fractional)
Ta  0.0000  0.0000  0.0000
Au  0.5000  0.5000  0.5000
I  0.0000  0.5000  0.5000
I  0.5000  0.0000  0.5000
N  0.5000  0.5000  0.0000

Values from the calculation:
energy relative to the elements, uncorrected = 148 kJ per mole of atoms
polymorph energy (0 for the lowest one) = 1235 meV per atom

***

[2]
This record from Alexandria describes a geometry-optimized CeAl2Fe2C structure. The functional is GGA-PBE.

Unit cell a=3.8785 b=3.8785 c=5.6339 alpha=90.00 beta=90.00 gamma=90.00
Element x y z (fractional)
Ce  0.0000  0.0000  0.0000
Al  0.5000  0.5000  0.2383
Al  0.5000  0.5000  0.7617
Fe  0.0000  0.5000  0.5000
Fe  0.5000  0.0000  0.5000
C  0.0000  0.0000  0.5000

Values from the calculation:
E = -0.5043 Ry/atom

***

[3]
This record from Alexandria describes a geometry-optimized DyAgPd structure. The functional is GGA-PBE.

Unit cell a=5.2596 b=5.2596 c=5.2596 alpha=139.20 beta=139.20 gamma=59.08
Element x y z (fractional)
Dy  0.0000  0.0000  0.0000
Ag  0.6773  0.6773  0.0000
Pd  0.3444  0.3444  0.0000

Values from the calculation:
polymorph energy (0 for the lowest one) = 31 meV per atom

***

[4]
This record from Alexandria describes a geometry-optimized ErAu3 structure. The functional is GGA-PBE.

Unit cell a=6.3584 b=6.3584 c=6.3584 alpha=143.07 beta=143.07 gamma=53.21
Element x y z (fractional)
Er  0.0000  0.0000  0.0000
Au  0.2559  0.2559  0.0000
Au  0.5000  0.5000  0.0000
Au  0.7441  0.7441  0.0000

Values from the calculation:
E = -0.2862 Ry/atom

***

[5]
This record from Alexandria describes a geometry-optimized Fe3C structure. The functional is GGA-PBE.

Unit cell a=4.2072 b=4.2072 c=4.2072 alpha=134.65 beta=134.65 gamma=66.07
Element x y z (fractional)
Fe  0.0000  0.0000  0.0000
Fe  0.2500  0.7500  0.5000
Fe  0.7500  0.2500  0.5000
C  0.5000  0.5000  0.0000

Values from the calculation:
E = -0.5754 Ry/atom